one | {
  "formula": "MgCr2As",
  "functional": "GGA-PBE",
  "state": "relaxed",
  "sg": "P4/mmm",
  "cell": [[3.164, 0.000, 0.000], [0.000, 3.164, 0.000], [0.000, 0.000, 5.993]],
  "species": ["Mg", "Cr", "Cr", "As"],
  "frac_coords": [[0.000, 0.000, 0.000], [0.500, 0.500, 0.279], [0.500, 0.500, 0.721], [0.000, 0.000, 0.500]]
}

two | {
  "formula": "MgCr2As",
  "functional": "GGA-PBE",
  "state": "relaxed",
  "sg": "Immm",
  "cell": [[3.218, 0.000, 0.000], [0.000, 4.389, 0.000], [0.000, 0.000, 8.285]],
  "species": ["Mg", "Mg", "Cr", "Cr", "Cr", "Cr", "As", "As"],
  "frac_coords": [[0.000, 0.000, 0.000], [0.500, 0.500, 0.500], [0.000, 0.500, 0.226], [0.000, 0.500, 0.774], [0.500, 0.000, 0.274], [0.500, 0.000, 0.726], [0.000, 0.000, 0.500], [0.500, 0.500, 0.000]]
}

three | {
  "formula": "MgCr2As",
  "functional": "GGA-PBE",
  "state": "relaxed",
  "sg": "Pm",
  "cell": [[3.072, 0.000, 0.000], [0.000, 4.011, 0.000], [-1.524, 0.000, 5.365]],
  "species": ["Mg", "Cr", "Cr", "As"],
  "frac_coords": [[0.000, 0.000, 0.000], [0.322, 0.500, 0.642], [0.756, 0.000, 0.508], [0.611, 0.500, 0.220]]
}

Most stable pick: three. Distance to second place: 99 meV/atom.

one | {
  "formula": "MgCr3As",
  "functional": "GGA-PBE",
  "state": "relaxed",
  "sg": "Pm-3m",
  "cell": [[4.623, 0.000, 0.000], [0.000, 4.623, 0.000], [0.000, 0.000, 4.623]],
  "species": ["Mg", "Cr", "Cr", "Cr", "As"],
  "frac_coords": [[0.000, 0.000, 0.000], [0.000, 0.500, 0.500], [0.500, 0.000, 0.500], [0.500, 0.500, 0.000], [0.500, 0.500, 0.500]]
}

two | {
  "formula": "MgCr3As",
  "functional": "GGA-PBE",
  "state": "relaxed",
  "sg": "Pm-3m",
  "cell": [[4.870, 0.000, 0.000], [0.000, 4.870, 0.000], [0.000, 0.000, 4.870]],
  "species": ["Mg", "Cr", "Cr", "Cr", "As"],
  "frac_coords": [[0.000, 0.000, 0.000], [0.000, 0.000, 0.500], [0.000, 0.500, 0.000], [0.500, 0.000, 0.000], [0.500, 0.500, 0.500]]
}

Most stable pick: one. Distance to second place: 894 meV/atom.

one | {
  "formula": "CrMoAs3",
  "functional": "GGA-PBE",
  "state": "relaxed",
  "sg": "Pm-3m",
  "cell": [[4.658, 0.000, 0.000], [0.000, 4.658, 0.000], [0.000, 0.000, 4.658]],
  "species": ["Cr", "Mo", "As", "As", "As"],
  "frac_coords": [[0.000, 0.000, 0.000], [0.500, 0.500, 0.500], [0.000, 0.000, 0.500], [0.000, 0.500, 0.000], [0.500, 0.000, 0.000]]
}

two | {
  "formula": "CrMoAs3",
  "functional": "GGA-PBE",
  "state": "relaxed",
  "sg": "P2_1/m",
  "cell": [[6.716, 0.000, 0.000], [0.000, 3.421, 0.000], [-0.300, 0.000, 7.659]],
  "species": ["Cr", "Cr", "Mo", "Mo", "As", "As", "As", "As", "As", "As"],
  "frac_coords": [[0.138, 0.250, 0.210], [0.862, 0.750, 0.790], [0.385, 0.750, 0.747], [0.615, 0.250, 0.253], [0.122, 0.250, 0.863], [0.321, 0.250, 0.493], [0.369, 0.750, 0.099], [0.631, 0.250, 0.901], [0.679, 0.750, 0.507], [0.878, 0.750, 0.137]]
}

Most stable pick: two. Distance to second place: 899 meV/atom.

one | {
  "formula": "Cr3MoAs",
  "functional": "GGA-PBE",
  "state": "relaxed",
  "sg": "Pm-3m",
  "cell": [[4.678, 0.000, 0.000], [0.000, 4.678, 0.000], [0.000, 0.000, 4.678]],
  "species": ["Cr", "Cr", "Cr", "Mo", "As"],
  "frac_coords": [[0.000, 0.000, 0.500], [0.000, 0.500, 0.000], [0.500, 0.000, 0.000], [0.000, 0.000, 0.000], [0.500, 0.500, 0.500]]
}

two | {
  "formula": "Cr3MoAs",
  "functional": "GGA-PBE",
  "state": "relaxed",
  "sg": "Pm-3m",
  "cell": [[4.411, 0.000, 0.000], [0.000, 4.411, 0.000], [0.000, 0.000, 4.411]],
  "species": ["Cr", "Cr", "Cr", "Mo", "As"],
  "frac_coords": [[0.000, 0.000, 0.500], [0.000, 0.500, 0.000], [0.500, 0.000, 0.000], [0.500, 0.500, 0.500], [0.000, 0.000, 0.000]]
}

Most stable pick: two. Distance to second place: 266 meV/atom.

one | {
  "formula": "Cr2AsN",
  "functional": "GGA-PBE",
  "state": "relaxed",
  "sg": "I-42d",
  "cell": [[5.021, 0.000, 0.000], [0.000, 5.021, 0.000], [0.000, 0.000, 9.446]],
  "species": ["Cr", "Cr", "Cr", "Cr", "Cr", "Cr", "Cr", "Cr", "As", "As", "As", "As", "N", "N", "N", "N"],
  "frac_coords": [[0.160, 0.250, 0.125], [0.250, 0.660, 0.375], [0.250, 0.840, 0.875], [0.340, 0.250, 0.625], [0.660, 0.750, 0.625], [0.750, 0.160, 0.875], [0.750, 0.340, 0.375], [0.840, 0.750, 0.125], [0.000, 0.000, 0.500], [0.000, 0.500, 0.750], [0.500, 0.000, 0.250], [0.500, 0.500, 0.000], [0.000, 0.000, 0.000], [0.000, 0.500, 0.250], [0.500, 0.000, 0.750], [0.500, 0.500, 0.500]]
}

two | {
  "formula": "Cr2AsN",
  "functional": "GGA-PBE",
  "state": "relaxed",
  "sg": "R3m",
  "cell": [[3.048, 0.000, 0.000], [-1.524, 2.640, 0.000], [0.000, 0.000, 17.299]],
  "species": ["Cr", "Cr", "Cr", "Cr", "Cr", "Cr", "As", "As", "As", "N", "N", "N"],
  "frac_coords": [[0.000, 0.000, 0.000], [0.000, 0.000, 0.222], [0.333, 0.667, 0.667], [0.333, 0.667, 0.889], [0.667, 0.333, 0.333], [0.667, 0.333, 0.555], [0.000, 0.000, 0.443], [0.333, 0.667, 0.109], [0.667, 0.333, 0.776], [0.000, 0.000, 0.612], [0.333, 0.667, 0.279], [0.667, 0.333, 0.946]]
}

three | {
  "formula": "Cr2AsN",
  "functional": "GGA-PBE",
  "state": "relaxed",
  "sg": "R-3m",
  "cell": [[2.976, 0.000, 0.000], [-1.488, 2.578, 0.000], [0.000, 0.000, 17.596]],
  "species": ["Cr", "Cr", "Cr", "Cr", "Cr", "Cr", "As", "As", "As", "N", "N", "N"],
  "frac_coords": [[0.000, 0.000, 0.221], [0.000, 0.000, 0.779], [0.333, 0.667, 0.445], [0.333, 0.667, 0.888], [0.667, 0.333, 0.112], [0.667, 0.333, 0.555], [0.000, 0.000, 0.000], [0.333, 0.667, 0.667], [0.667, 0.333, 0.333], [0.000, 0.000, 0.500], [0.333, 0.667, 0.167], [0.667, 0.333, 0.833]]
}

Most stable pick: three. Distance to second place: 48 meV/atom.

one | {
  "formula": "CrAsS2N",
  "functional": "GGA-PBE",
  "state": "relaxed",
  "sg": "P4/mmm",
  "cell": [[4.716, 0.000, 0.000], [0.000, 4.716, 0.000], [0.000, 0.000, 3.523]],
  "species": ["Cr", "As", "S", "S", "N"],
  "frac_coords": [[0.000, 0.000, 0.000], [0.500, 0.500, 0.500], [0.000, 0.500, 0.000], [0.500, 0.000, 0.000], [0.000, 0.000, 0.500]]
}

two | {
  "formula": "CrAsS2N",
  "functional": "GGA-PBE",
  "state": "relaxed",
  "sg": "P4/mmm",
  "cell": [[4.827, 0.000, 0.000], [0.000, 4.827, 0.000], [0.000, 0.000, 3.616]],
  "species": ["Cr", "As", "S", "S", "N"],
  "frac_coords": [[0.000, 0.000, 0.000], [0.500, 0.500, 0.500], [0.000, 0.500, 0.500], [0.500, 0.000, 0.500], [0.500, 0.500, 0.000]]
}

Most stable pick: one. Distance to second place: 547 meV/atom.

one | {
  "formula": "CrAsSeN2",
  "functional": "GGA-PBE",
  "state": "relaxed",
  "sg": "P4/mmm",
  "cell": [[3.621, 0.000, 0.000], [0.000, 3.621, 0.000], [0.000, 0.000, 6.732]],
  "species": ["Cr", "As", "Se", "N", "N"],
  "frac_coords": [[0.000, 0.000, 0.000], [0.500, 0.500, 0.500], [0.500, 0.500, 0.000], [0.000, 0.500, 0.500], [0.500, 0.000, 0.500]]
}

two | {
  "formula": "CrAsSeN2",
  "functional": "GGA-PBE",
  "state": "relaxed",
  "sg": "P4/mmm",
  "cell": [[3.716, 0.000, 0.000], [0.000, 3.716, 0.000], [0.000, 0.000, 5.193]],
  "species": ["Cr", "As", "Se", "N", "N"],
  "frac_coords": [[0.000, 0.000, 0.000], [0.500, 0.500, 0.500], [0.000, 0.000, 0.500], [0.000, 0.500, 0.000], [0.500, 0.000, 0.000]]
}

Most stable pick: two. Distance to second place: 874 meV/atom.

one | {
  "formula": "CrTeAsN2",
  "functional": "GGA-PBE",
  "state": "relaxed",
  "sg": "P4/mmm",
  "cell": [[3.753, 0.000, 0.000], [0.000, 3.753, 0.000], [0.000, 0.000, 7.025]],
  "species": ["Cr", "Te", "As", "N", "N"],
  "frac_coords": [[0.000, 0.000, 0.000], [0.500, 0.500, 0.000], [0.500, 0.500, 0.500], [0.000, 0.500, 0.500], [0.500, 0.000, 0.500]]
}

two | {
  "formula": "CrTeAsN2",
  "functional": "GGA-PBE",
  "state": "relaxed",
  "sg": "P4/mmm",
  "cell": [[3.834, 0.000, 0.000], [0.000, 3.834, 0.000], [0.000, 0.000, 5.675]],
  "species": ["Cr", "Te", "As", "N", "N"],
  "frac_coords": [[0.000, 0.000, 0.000], [0.000, 0.000, 0.500], [0.500, 0.500, 0.500], [0.000, 0.500, 0.000], [0.500, 0.000, 0.000]]
}

Most stable pick: two. Distance to second place: 542 meV/atom.

one | {
  "formula": "Na3CrAs",
  "functional": "GGA-PBE",
  "state": "relaxed",
  "sg": "Pm-3m",
  "cell": [[5.559, 0.000, 0.000], [0.000, 5.559, 0.000], [0.000, 0.000, 5.559]],
  "species": ["Na", "Na", "Na", "Cr", "As"],
  "frac_coords": [[0.000, 0.000, 0.500], [0.000, 0.500, 0.000], [0.500, 0.000, 0.000], [0.500, 0.500, 0.500], [0.000, 0.000, 0.000]]
}

two | {
  "formula": "Na3CrAs",
  "functional": "GGA-PBE",
  "state": "relaxed",
  "sg": "Pm-3m",
  "cell": [[5.471, 0.000, 0.000], [0.000, 5.471, 0.000], [0.000, 0.000, 5.471]],
  "species": ["Na", "Na", "Na", "Cr", "As"],
  "frac_coords": [[0.000, 0.000, 0.500], [0.000, 0.500, 0.000], [0.500, 0.000, 0.000], [0.000, 0.000, 0.000], [0.500, 0.500, 0.500]]
}

Most stable pick: one. Distance to second place: 461 meV/atom.

one | {
  "formula": "NaCrAs3",
  "functional": "GGA-PBE",
  "state": "relaxed",
  "sg": "Pm-3m",
  "cell": [[4.756, 0.000, 0.000], [0.000, 4.756, 0.000], [0.000, 0.000, 4.756]],
  "species": ["Na", "Cr", "As", "As", "As"],
  "frac_coords": [[0.000, 0.000, 0.000], [0.500, 0.500, 0.500], [0.000, 0.500, 0.500], [0.500, 0.000, 0.500], [0.500, 0.500, 0.000]]
}

two | {
  "formula": "NaCrAs3",
  "functional": "GGA-PBE",
  "state": "relaxed",
  "sg": "Pm-3m",
  "cell": [[4.875, 0.000, 0.000], [0.000, 4.875, 0.000], [0.000, 0.000, 4.875]],
  "species": ["Na", "Cr", "As", "As", "As"],
  "frac_coords": [[0.000, 0.000, 0.000], [0.500, 0.500, 0.500], [0.000, 0.000, 0.500], [0.000, 0.500, 0.000], [0.500, 0.000, 0.000]]
}

Most stable pick: one. Distance to second place: 1529 meV/atom.

one | {
  "formula": "NaCr2As2",
  "functional": "GGA-PBE",
  "state": "relaxed",
  "sg": "I4/mmm",
  "cell": [[3.523, 0.000, 0.000], [0.000, 3.523, 0.000], [0.000, 0.000, 14.755]],
  "species": ["Na", "Na", "Cr", "Cr", "Cr", "Cr", "As", "As", "As", "As"],
  "frac_coords": [[0.000, 0.000, 0.000], [0.500, 0.500, 0.500], [0.000, 0.500, 0.250], [0.000, 0.500, 0.750], [0.500, 0.000, 0.250], [0.500, 0.000, 0.750], [0.000, 0.000, 0.367], [0.000, 0.000, 0.633], [0.500, 0.500, 0.133], [0.500, 0.500, 0.867]]
}

two | {
  "formula": "NaCr2As2",
  "functional": "GGA-PBE",
  "state": "relaxed",
  "sg": "P4/mbm",
  "cell": [[7.576, 0.000, 0.000], [0.000, 7.576, 0.000], [0.000, 0.000, 2.986]],
  "species": ["Na", "Na", "Cr", "Cr", "Cr", "Cr", "As", "As", "As", "As"],
  "frac_coords": [[0.000, 0.000, 0.000], [0.500, 0.500, 0.000], [0.133, 0.367, 0.500], [0.367, 0.867, 0.500], [0.633, 0.133, 0.500], [0.867, 0.633, 0.500], [0.156, 0.656, 0.000], [0.344, 0.156, 0.000], [0.656, 0.844, 0.000], [0.844, 0.344, 0.000]]
}

Most stable pick: one. Distance to second place: 222 meV/atom.

one | {
  "formula": "NbCrAs3",
  "functional": "GGA-PBE",
  "state": "relaxed",
  "sg": "Pm-3m",
  "cell": [[4.960, 0.000, 0.000], [0.000, 4.960, 0.000], [0.000, 0.000, 4.960]],
  "species": ["Nb", "Cr", "As", "As", "As"],
  "frac_coords": [[0.000, 0.000, 0.000], [0.500, 0.500, 0.500], [0.000, 0.000, 0.500], [0.000, 0.500, 0.000], [0.500, 0.000, 0.000]]
}

two | {
  "formula": "NbCrAs3",
  "functional": "GGA-PBE",
  "state": "relaxed",
  "sg": "Pm-3m",
  "cell": [[4.654, 0.000, 0.000], [0.000, 4.654, 0.000], [0.000, 0.000, 4.654]],
  "species": ["Nb", "Cr", "As", "As", "As"],
  "frac_coords": [[0.000, 0.000, 0.000], [0.500, 0.500, 0.500], [0.000, 0.500, 0.500], [0.500, 0.000, 0.500], [0.500, 0.500, 0.000]]
}

Most stable pick: two. Distance to second place: 449 meV/atom.

one | {
  "formula": "NbCrAs2S",
  "functional": "GGA-PBE",
  "state": "relaxed",
  "sg": "P4/mmm",
  "cell": [[4.932, 0.000, 0.000], [0.000, 4.932, 0.000], [0.000, 0.000, 4.709]],
  "species": ["Nb", "Cr", "As", "As", "S"],
  "frac_coords": [[0.000, 0.000, 0.000], [0.000, 0.000, 0.500], [0.000, 0.500, 0.000], [0.500, 0.000, 0.000], [0.500, 0.500, 0.500]]
}

two | {
  "formula": "NbCrAs2S",
  "functional": "GGA-PBE",
  "state": "relaxed",
  "sg": "P4/mmm",
  "cell": [[4.764, 0.000, 0.000], [0.000, 4.764, 0.000], [0.000, 0.000, 4.277]],
  "species": ["Nb", "Cr", "As", "As", "S"],
  "frac_coords": [[0.000, 0.000, 0.000], [0.500, 0.500, 0.500], [0.000, 0.500, 0.500], [0.500, 0.000, 0.500], [0.500, 0.500, 0.000]]
}

Most stable pick: two. Distance to second place: 586 meV/atom.